DFT (PBE with a Hubbard U) results for crystalline V2Zn2O7 at its relaxed geometry.

extended XYZ file:
```
22
Lattice="5.698 0.000 -0.002 -0.489 5.677 -0.002 2.549 2.777 9.561" Properties=species:S:1:pos:R:3 pbc="T T T"
Zn 2.456 3.625 4.563
V 3.697 0.836 2.798
O 0.719 4.123 3.471
O 6.077 5.407 8.573
O 5.076 6.569 5.910
O 2.923 4.222 8.428
Zn 3.083 4.308 0.214
O 5.320 2.458 8.252
V 4.061 7.619 6.760
O 4.166 3.325 5.766
Zn 4.676 4.147 9.344
O 2.682 1.886 3.647
O 1.681 3.047 0.985
O 2.438 5.996 1.306
V 5.968 3.310 1.979
O 4.835 4.232 1.129
O 3.592 5.130 3.792
O 2.545 6.731 7.169
O 5.214 1.723 2.388
O 7.039 4.331 6.086
V 1.790 5.144 7.578
Zn 5.302 4.829 4.994
```

Output
For the magnetization, the calculation gives 0.000 μB/atom. For the energy, the calculation gives -6.464 eV/atom. The symmetry is C2/c (15).

DFT (PBE with a Hubbard U) results for crystalline VZnO3 at its relaxed geometry.

extended XYZ file:
```
5
Lattice="-2.899 -2.432 0.198 1.671 -1.754 2.914 -1.779 2.317 2.414" Properties=species:S:1:pos:R:3 pbc="T T T"
Zn -1.504 -0.935 2.763
O -1.450 -1.216 0.099
O -0.889 1.158 1.207
V 0.000 0.000 0.000
O 0.835 -0.877 1.457
```

Output
For the magnetization, the calculation gives 0.158 μB/atom. For the energy, the calculation gives -5.978 eV/atom. The symmetry is Pm-3m (221).

DFT (PBE with a Hubbard U) results for crystalline V3ZnO6 at its relaxed geometry.

extended XYZ file:
```
10
Lattice="-3.177 -3.640 1.354 2.272 -5.112 -0.881 2.199 -3.181 4.136" Properties=species:S:1:pos:R:3 pbc="T T T"
O 0.652 -10.079 3.888
O 0.642 -1.853 0.722
O 0.706 -7.876 1.630
O 0.623 -5.002 0.522
O 0.587 -4.056 2.980
V 1.401 -8.655 3.351
V -0.108 -3.277 1.260
V 0.000 0.000 0.000
Zn 0.647 -5.966 2.305
O 0.670 -6.930 4.088
```

Output
For the magnetization, the calculation gives 0.500 μB/atom. For the energy, the calculation gives -7.154 eV/atom. The symmetry is C2/m (12).

DFT (PBE with a Hubbard U) results for crystalline V2Zn2O7 at its relaxed geometry.

extended XYZ file:
```
11
Lattice="-2.430 0.561 4.815 1.022 -5.292 -0.591 4.137 -0.272 2.937" Properties=species:S:1:pos:R:3 pbc="T T T"
O 1.249 -2.893 6.263
O 2.404 -4.851 4.455
O 0.326 -0.152 2.705
Zn 0.726 -1.419 4.580
Zn 2.004 -3.585 2.580
V 0.091 -1.179 1.335
O 0.114 -2.764 3.066
O 2.616 -2.239 4.094
V 2.638 -3.825 5.826
O 0.000 0.000 0.000
O 1.481 -2.110 0.897
```

Output
For the magnetization, the calculation gives 0.000 μB/atom. For the energy, the calculation gives -6.433 eV/atom. The symmetry is C2/m (12).

DFT (PBE with a Hubbard U) results for crystalline VZnO at its relaxed geometry.

extended XYZ file:
```
6
Lattice="4.068 0.000 0.000 0.000 3.079 0.000 0.000 1.540 7.984" Properties=species:S:1:pos:R:3 pbc="T T T"
V 1.017 3.079 4.817
O 1.017 1.540 3.473
O 3.051 3.079 4.510
V 3.051 1.540 3.167
Zn 3.051 3.079 0.818
Zn 1.017 1.540 7.165
```

Output
For the magnetization, the calculation gives 0.891 μB/atom. For the energy, the calculation gives -5.237 eV/atom. The symmetry is Cmcm (63).

DFT (PBE with a Hubbard U) results for crystalline V2Zn2O5 at its relaxed geometry.

extended XYZ file:
```
18
Lattice="3.305 0.000 0.000 0.000 7.805 0.000 0.000 0.000 10.216" Properties=species:S:1:pos:R:3 pbc="T T T"
O 0.000 6.514 9.569
V 1.652 2.387 1.026
O 0.000 2.611 5.756
O 1.652 0.000 5.108
O 1.652 6.682 2.206
V 1.652 6.289 4.082
O 1.652 1.123 8.010
O 1.652 3.903 0.000
Zn 0.000 3.246 3.778
O 1.652 2.780 2.902
O 0.000 5.194 4.461
Zn 0.000 0.657 8.886
V 1.652 1.516 6.135
O 0.000 1.291 0.648
Zn 0.000 7.148 1.330
O 1.652 5.025 7.314
Zn 0.000 4.559 6.439
V 1.652 5.418 9.190
```

Output
For the magnetization, the calculation gives 0.444 μB/atom. For the energy, the calculation gives -6.297 eV/atom. The symmetry is Pbam (55).

DFT (PBE with a Hubbard U) results for crystalline VZnO3 at its relaxed geometry.

extended XYZ file:
```
20
Lattice="-2.600 -0.474 -4.548 -3.724 -5.146 1.886 -5.309 3.484 1.893" Properties=species:S:1:pos:R:3 pbc="T T T"
O -7.754 -2.331 -1.488
O -8.166 0.786 -1.810
O -8.274 -2.264 2.885
O -3.879 0.195 0.718
Zn -6.632 -2.060 1.765
Zn -5.002 -0.076 -2.535
O -5.580 1.260 -1.231
V -5.523 0.993 0.754
O -6.054 -3.397 0.461
O -6.777 -0.338 0.788
V -6.110 -3.129 -1.524
O -3.360 0.127 -3.655
O -1.796 -1.070 -1.382
V -7.107 2.299 -1.519
O -4.856 -1.798 -1.558
O -9.837 -1.066 0.612
Zn -3.403 -1.465 -0.262
Zn -8.231 -0.671 -0.508
O -3.468 -2.922 1.040
V -4.526 -4.435 0.749
```

Output
For the magnetization, the calculation gives 0.200 μB/atom. For the energy, the calculation gives -6.470 eV/atom. The symmetry is C2/c (15).

DFT (PBE with a Hubbard U) results for crystalline V3ZnO at its relaxed geometry.

extended XYZ file:
```
5
Lattice="4.198 0.000 0.000 0.000 4.198 0.000 0.000 0.000 4.198" Properties=species:S:1:pos:R:3 pbc="T T T"
Zn 2.099 2.099 2.099
V 2.099 0.000 0.000
V 0.000 0.000 2.099
V 0.000 2.099 0.000
O 0.000 0.000 0.000
```

Output
For the magnetization, the calculation gives 1.452 μB/atom. For the energy, the calculation gives -5.609 eV/atom. The symmetry is Pm-3m (221).